Record 1
Pr2PaMo2N6 | GGA-PBE | optimized geometry

Results
* symmetry: R-3m, No. 166
* formation energy from raw total energies: -848 meV per atom

```
Pr2PaMo2N6
1.0
-4.2134 3.5536 2.1102
-4.9836 -2.2977 2.1722
-0.6224 0.1534 6.7525
Pr Pa Mo N
2 1 2 6
Cartesian
-7.6767 1.0909 7.5959
-2.1427 0.3184 3.4390
0.0000 0.0000 0.0000
-4.1958 0.6272 7.0735
-5.6237 0.7822 3.9614
-7.0611 0.9835 5.1080
-4.8375 -0.8919 3.9943
-4.4311 2.1961 3.9616
-5.3884 -0.7868 7.0732
-4.9820 2.3012 7.0405
-2.7583 0.4258 5.9268
```

***

Record 2
KNaCuSn2 | GGA-PBE | optimized geometry

Results
* symmetry: P4/mmm, No. 123
* polymorph energy (0 for the lowest one): 115.0 kJ per mole of atoms

```
KNaCuSn2
1.0
-4.7214 -3.2558 1.8246
2.4338 -4.4043 -1.5612
2.4900 -0.5562 5.4508
Na K Sn Cu
1 1 2 1
Cartesian
1.2169 -2.2021 -0.7806
0.0000 0.0000 0.0000
1.2450 -0.2781 2.7254
-2.3607 -1.6279 0.9123
0.1012 -4.1081 2.8572
```

***

Record 3
Sm3Ga12Pd | GGA-PBE | optimized geometry

Results
* symmetry: P4/mmm, No. 123

```
Sm3Ga12Pd
1.0
-0.7445 -3.2904 2.7649
4.2955 -0.6620 0.3688
0.5310 10.4571 12.5876
Sm Ga Pd
3 12 1
Cartesian
0.1233 2.4290 2.9239
0.2655 5.2286 6.2938
0.4076 8.0281 9.6637
1.7755 -1.9762 1.5668
1.9044 0.5609 4.6209
2.0410 3.2524 7.8606
2.1777 5.9438 11.1004
-0.3180 -0.5778 2.6673
-0.1772 2.1963 6.0065
-0.0363 4.9705 9.3460
0.1046 7.7445 12.6852
2.2020 0.7364 1.4692
2.3428 3.5105 4.8085
2.4837 6.2847 8.1479
2.6246 9.0588 11.4871
0.0000 0.0000 0.0000
```

***

Record 4
UCo2C | GGA-PBE | optimized geometry

Results
* symmetry: Cmcm, No. 63
* polymorph energy (0 for the lowest one): 0.0 kJ per mole of atoms

```
UCo2C
1.0
-2.4933 -1.0302 2.3619
4.0843 -2.4205 0.5352
1.9533 4.1524 3.8731
U Co C
2 4 2
Cartesian
1.7320 -2.0520 3.6540
1.8123 2.7538 3.1162
3.0354 0.2090 3.2957
0.5089 0.4928 3.4745
3.8461 1.9324 4.9032
-0.3018 -1.2306 1.8671
1.8167 0.9458 5.0524
1.7276 -0.2440 1.7179
```

***

Total DFT energy (no corrections) readings, ordered: -99.99, -8.62, -62.95, -34.37 eV per formula unit
V readings, ordered: 177, 191, 312, 95 Å³/cell